1.
Computed, not measured: an optimized crystal structure of AlNiSN2 at the GGA-PBEsol level of DFT.

Structure (POSCAR):
```
AlNiSN2
1.0
3.574 0.000 0.000
0.000 3.574 0.000
0.000 0.000 5.073
Al Ni S N
1 1 1 2
Direct
0.000 0.000 0.000 Al
0.500 0.500 0.500 Ni
0.000 0.000 0.500 S
0.000 0.500 0.000 N
0.500 0.000 0.000 N
```

The calculation puts the volume at 65 Å³/cell. The total DFT energy (no corrections) comes out at -5.50 eV per atom. The size of the total moment comes out at 2.5 μB/cell. Its uncorrected formation energy is 836.9 meV/atom. The value obtained for the density is 3.73 g/cm³.

2.
Computed, not measured: an optimized crystal structure of Mg5Cu3 at the GGA-PBEsol level of DFT.

Structure (POSCAR):
```
Mg5Cu3
1.0
7.667 0.000 0.000
-3.834 6.640 0.000
0.000 0.000 5.348
Mg Cu
10 6
Direct
0.000 0.247 0.250 Mg
0.000 0.753 0.750 Mg
0.247 0.000 0.250 Mg
0.247 0.247 0.750 Mg
0.333 0.667 0.000 Mg
0.333 0.667 0.500 Mg
0.667 0.333 0.000 Mg
0.667 0.333 0.500 Mg
0.753 0.000 0.750 Mg
0.753 0.753 0.250 Mg
0.000 0.402 0.750 Cu
0.000 0.598 0.250 Cu
0.402 0.000 0.750 Cu
0.402 0.402 0.250 Cu
0.598 0.000 0.250 Cu
0.598 0.598 0.750 Cu
```

The calculation puts the volume at 272 Å³/cell. The total DFT energy (no corrections) comes out at -2.73 eV per atom. The size of the total moment comes out at 0.0 μB/cell. The calculation puts the calculated formation energy at -0.028 eV per atom. The value obtained for the density is 3.81 g/cm³.

3.
Computed, not measured: an optimized crystal structure of KZr2ScCr at the GGA-PBEsol level of DFT.

Structure (POSCAR):
```
KZr2ScCr
1.0
4.855 0.000 0.000
0.000 4.855 0.000
0.000 0.000 5.325
K Zr Sc Cr
1 2 1 1
Direct
0.000 0.000 0.000 K
0.000 0.500 0.500 Zr
0.500 0.000 0.500 Zr
0.500 0.500 0.000 Sc
0.500 0.500 0.500 Cr
```

The calculation puts the volume at 126 Å³/cell. The total DFT energy (no corrections) comes out at -6.50 eV per atom. The size of the total moment comes out at 0.0 μB/cell. The calculation puts the calculated formation energy at 0.727 eV per atom. The value obtained for the density is 4.21 g/cm³.

4.
Computed, not measured: an optimized crystal structure of EuCo2Si2 at the GGA-PBEsol level of DFT.

Structure (POSCAR):
```
EuCo2Si2
1.0
-1.932 1.932 4.971
1.932 -1.932 4.971
1.932 1.932 -4.971
Eu Co Si
1 2 2
Direct
0.000 0.000 0.000 Eu
0.250 0.750 0.500 Co
0.750 0.250 0.500 Co
0.367 0.367 0.000 Si
0.633 0.633 0.000 Si
```

The calculation puts the volume at 74 Å³/cell. The total DFT energy (no corrections) comes out at -8.24 eV per atom. The size of the total moment comes out at 6.9 μB/cell. Its uncorrected formation energy is -731.1 meV/atom. The value obtained for the density is 7.29 g/cm³.

5.
Computed, not measured: an optimized crystal structure of CaAsS2Cl at the GGA-PBEsol level of DFT.

Structure (POSCAR):
```
CaAsS2Cl
1.0
5.241 0.000 0.000
0.000 5.241 0.000
0.000 0.000 4.904
Ca As S Cl
1 1 2 1
Direct
0.000 0.000 0.000 Ca
0.500 0.500 0.500 As
0.000 0.500 0.000 S
0.500 0.000 0.000 S
0.000 0.000 0.500 Cl
```

The calculation puts the volume at 135 Å³/cell. The total DFT energy (no corrections) comes out at -3.53 eV per atom. The size of the total moment comes out at 0.0 μB/cell. Its uncorrected formation energy is 68.3 meV/atom. The value obtained for the density is 2.64 g/cm³.

6.
Computed, not measured: an optimized crystal structure of CoTc2 at the GGA-PBEsol level of DFT.

Structure (POSCAR):
```
CoTc2
1.0
4.771 -1.322 0.000
4.771 1.322 0.000
-1.447 0.000 6.021
Co Tc
2 4
Direct
0.000 0.000 0.000 Co
0.668 0.668 0.336 Co
0.062 0.062 0.607 Tc
0.334 0.334 0.667 Tc
0.392 0.392 0.273 Tc
0.715 0.715 0.955 Tc
```

The calculation puts the volume at 76 Å³/cell. The total DFT energy (no corrections) comes out at -10.07 eV per atom. The size of the total moment comes out at 0.0 μB/cell. The calculation puts the calculated formation energy at 0.019 eV per atom. The value obtained for the density is 11.15 g/cm³.

7.
Computed, not measured: an optimized crystal structure of Nb3NiH at the GGA-PBEsol level of DFT.

Structure (POSCAR):
```
Nb3NiH
1.0
4.057 0.000 0.000
0.000 4.057 0.000
0.000 0.000 4.057
Nb Ni H
3 1 1
Direct
0.000 0.000 0.500 Nb
0.000 0.500 0.000 Nb
0.500 0.000 0.000 Nb
0.500 0.500 0.500 Ni
0.000 0.000 0.000 H
```

The calculation puts the volume at 67 Å³/cell. The total DFT energy (no corrections) comes out at -8.37 eV per atom. The size of the total moment comes out at 0.0 μB/cell. The value obtained for the density is 8.42 g/cm³.

8.
Computed, not measured: an optimized crystal structure of ZrTaSCl2 at the GGA-PBEsol level of DFT.

Structure (POSCAR):
```
ZrTaSCl2
1.0
4.699 0.000 0.000
0.000 4.699 0.000
0.000 0.000 4.778
Zr Ta S Cl
1 1 1 2
Direct
0.000 0.000 0.000 Zr
0.500 0.500 0.500 Ta
0.500 0.500 0.000 S
0.000 0.500 0.500 Cl
0.500 0.000 0.500 Cl
```

The calculation puts the volume at 105 Å³/cell. The total DFT energy (no corrections) comes out at -6.00 eV per atom. The size of the total moment comes out at 2.6 μB/cell. Its uncorrected formation energy is 8.6 meV/atom. The value obtained for the density is 5.91 g/cm³.

9.
Computed, not measured: an optimized crystal structure of YRuSe2 at the GGA-PBEsol level of DFT.

Structure (POSCAR):
```
YRuSe2
1.0
-1.945 1.945 4.876
1.945 -1.945 4.876
1.945 1.945 -4.876
Y Ru Se
1 1 2
Direct
0.000 0.000 0.000 Y
0.750 0.250 0.500 Ru
0.250 0.750 0.500 Se
0.500 0.500 0.000 Se
```

The calculation puts the volume at 74 Å³/cell. The total DFT energy (no corrections) comes out at -6.63 eV per atom. The size of the total moment comes out at 0.0 μB/cell. Its uncorrected formation energy is -458.7 meV/atom. The value obtained for the density is 7.83 g/cm³.

10.
Computed, not measured: an optimized crystal structure of K3V3O8 at the GGA-PBEsol level of DFT.

Structure (POSCAR):
```
K3V3O8
1.0
5.600 0.000 0.000
-2.800 4.850 0.000
0.000 0.000 7.348
K V O
3 3 8
Direct
0.000 0.000 0.000 K
0.333 0.667 0.687 K
0.667 0.333 0.313 K
0.000 0.000 0.500 V
0.333 0.667 0.260 V
0.667 0.333 0.740 V
0.165 0.330 0.345 O
0.165 0.835 0.345 O
0.330 0.165 0.655 O
0.333 0.667 0.035 O
0.667 0.333 0.965 O
0.670 0.835 0.345 O
0.835 0.165 0.655 O
0.835 0.670 0.655 O
```

The calculation puts the volume at 200 Å³/cell. The total DFT energy (no corrections) comes out at -7.62 eV per atom. The size of the total moment comes out at 2.0 μB/cell. Its uncorrected formation energy is -2316.8 meV/atom. The value obtained for the density is 3.31 g/cm³.

11.
Computed, not measured: an optimized crystal structure of Nb2PbO6 at the GGA-PBEsol level of DFT.

Structure (POSCAR):
```
Nb2PbO6
1.0
5.263 3.039 3.858
-5.263 3.039 3.858
0.000 -6.077 3.858
Nb Pb O
6 3 18
Direct
0.021 0.665 0.365 Nb
0.335 0.635 0.979 Nb
0.365 0.021 0.665 Nb
0.635 0.979 0.335 Nb
0.665 0.365 0.021 Nb
0.979 0.335 0.635 Nb
0.177 0.177 0.177 Pb
0.500 0.500 0.500 Pb
0.823 0.823 0.823 Pb
0.116 0.116 0.663 O
0.116 0.663 0.116 O
0.118 0.403 0.403 O
0.220 0.498 0.770 O
0.230 0.780 0.502 O
0.337 0.884 0.884 O
0.403 0.118 0.403 O
0.403 0.403 0.118 O
0.498 0.770 0.220 O
0.502 0.230 0.780 O
0.597 0.597 0.882 O
0.597 0.882 0.597 O
0.663 0.116 0.116 O
0.770 0.220 0.498 O
0.780 0.502 0.230 O
0.882 0.597 0.597 O
0.884 0.337 0.884 O
0.884 0.884 0.337 O
```

The calculation puts the volume at 370 Å³/cell. The total DFT energy (no corrections) comes out at -8.61 eV per atom. The size of the total moment comes out at 0.0 μB/cell. Its uncorrected formation energy is -2265.4 meV/atom. The value obtained for the density is 6.58 g/cm³.

12.
Computed, not measured: an optimized crystal structure of CaNbS2N at the GGA-PBEsol level of DFT.

Structure (POSCAR):
```
CaNbS2N
1.0
5.038 0.000 0.000
0.000 5.038 0.000
0.000 0.000 4.099
Ca Nb S N
1 1 2 1
Direct
0.000 0.000 0.000 Ca
0.500 0.500 0.500 Nb
0.000 0.500 0.000 S
0.500 0.000 0.000 S
0.000 0.000 0.500 N
```

The calculation puts the volume at 104 Å³/cell. The total DFT energy (no corrections) comes out at -5.08 eV per atom. The size of the total moment comes out at 4.2 μB/cell. Its uncorrected formation energy is 971.2 meV/atom. The value obtained for the density is 3.37 g/cm³.